[1]
The following is a PBE calculation of a relaxed YTmPu2As4 crystal, from Alexandria via LeMat-Bulk.

Geometry as POSCAR:
```
YTmPu2As4
1.0
-1.683 1.003 3.629
2.592 -6.006 2.861
4.733 5.230 0.750
Y Tm Pu As
1 1 2 4
Direct
0.000 0.000 0.000
0.500 0.500 0.000
0.500 0.000 0.500
0.000 0.500 0.500
0.500 0.253 0.252
0.500 0.747 0.748
0.000 0.252 0.750
0.000 0.748 0.250
```

Output
- crystal system = monoclinic
- DOS at the Fermi energy (states/eV/f.u.) = 20.924
- energy of formation (eV per atom) = -1.275



[2]
The following is a PBE calculation of a relaxed Y2TmPuAs4 crystal, from Alexandria via LeMat-Bulk.

Geometry as POSCAR:
```
Y2TmPuAs4
1.0
4.119 0.000 0.000
0.000 7.108 0.123
0.000 -2.485 6.666
Y Tm Pu As
2 1 1 4
Direct
0.500 0.000 0.500
0.000 0.500 0.500
0.500 0.500 0.000
0.000 0.000 0.000
0.500 0.250 0.247
0.500 0.750 0.753
0.000 0.252 0.754
0.000 0.748 0.246
```

Output
- crystal system = monoclinic
- DOS at the Fermi energy (states/eV/f.u.) = 13.100
- energy of formation (eV per atom) = -1.399



[3]
The following is a PBE calculation of a relaxed YTm2PuAs4 crystal, from Alexandria via LeMat-Bulk.

Geometry as POSCAR:
```
YTm2PuAs4
1.0
4.104 0.000 0.000
0.000 7.082 -0.139
0.000 2.493 6.635
Y Tm Pu As
1 2 1 4
Direct
0.500 0.500 0.000
0.000 0.000 0.000
0.500 0.000 0.500
0.000 0.500 0.500
0.000 0.754 0.748
0.000 0.246 0.252
0.500 0.753 0.250
0.500 0.247 0.750
```

Output
- crystal system = monoclinic
- DOS at the Fermi energy (states/eV/f.u.) = 12.873
- energy of formation (eV per atom) = -1.386



[4]
The following is a PBE calculation of a relaxed TmPuZr2As4 crystal, from Alexandria via LeMat-Bulk.

Geometry as POSCAR:
```
TmPuZr2As4
1.0
-3.354 2.074 -0.427
-2.150 -2.218 6.121
3.541 5.896 0.821
Tm Pu Zr As
1 1 2 4
Direct
0.500 0.500 0.000
0.000 0.000 0.000
0.500 0.000 0.500
0.000 0.500 0.500
0.500 0.256 0.262
0.500 0.744 0.738
0.000 0.248 0.739
0.000 0.752 0.261
```

Output
- crystal system = monoclinic
- DOS at the Fermi energy (states/eV/f.u.) = 12.136
- energy of formation (eV per atom) = -1.221



[5]
The following is a PBE calculation of a relaxed PuUAs2 crystal, from Alexandria via LeMat-Bulk.

Geometry as POSCAR:
```
PuUAs2
1.0
4.961 0.000 0.000
2.481 4.297 0.000
2.481 1.432 4.051
As U Pu
2 1 1
Direct
0.250 0.250 0.250
0.750 0.750 0.750
0.500 0.500 0.500
0.000 0.000 0.000
```

Output
- energy above the most stable polymorph in this dataset (eV per atom) = 0.125
- crystal system = cubic
- DOS at the Fermi energy (states/eV/f.u.) = 10.969
- energy of formation (eV per atom) = -0.742



[6]
The following is a PBE calculation of a relaxed PuUAs2 crystal, from Alexandria via LeMat-Bulk.

Geometry as POSCAR:
```
PuUAs2
1.0
5.346 0.000 -2.258
-0.954 5.260 -2.258
-0.150 -0.180 7.102
Pu U As
2 2 4
Direct
0.500 0.500 0.000
0.250 0.750 0.500
0.750 0.250 0.500
0.000 0.000 0.000
0.752 0.752 0.504
0.502 0.002 0.004
0.248 0.248 0.496
0.998 0.498 0.996
```

Output
- energy above the most stable polymorph in this dataset (eV per atom) = 0.027
- crystal system = tetragonal
- DOS at the Fermi energy (states/eV/f.u.) = 18.266
- energy of formation (eV per atom) = -0.840



[7]
The following is a PBE calculation of a relaxed PuU4As5 crystal, from Alexandria via LeMat-Bulk.

Geometry as POSCAR:
```
PuU4As5
1.0
3.978 0.000 -0.767
-0.298 5.561 -1.544
0.044 0.031 10.920
Pu U As
1 4 5
Direct
0.000 0.000 0.000
0.400 0.400 0.800
0.800 0.800 0.599
0.200 0.200 0.401
0.600 0.600 0.200
0.601 0.101 0.203
0.800 0.300 0.600
0.200 0.700 0.400
0.000 0.500 0.000
0.399 0.899 0.797
```

Output
- crystal system = orthorhombic
- DOS at the Fermi energy (states/eV/f.u.) = 34.958
- energy of formation (eV per atom) = -0.774



[8]
The following is a PBE calculation of a relaxed PuUAs2 crystal, from Alexandria via LeMat-Bulk.

Geometry as POSCAR:
```
PuUAs2
1.0
3.522 0.000 0.000
0.000 4.959 0.000
0.000 0.000 4.959
As U Pu
2 1 1
Direct
0.000 0.000 0.500
0.000 0.500 0.000
0.500 0.500 0.500
0.500 0.000 0.000
```

Output
- energy above the most stable polymorph in this dataset (eV per atom) = 0.134
- crystal system = tetragonal
- DOS at the Fermi energy (states/eV/f.u.) = 9.696
- energy of formation (eV per atom) = -0.733



[9]
The following is a PBE calculation of a relaxed Pu2UAs4 crystal, from Alexandria via LeMat-Bulk.

Geometry as POSCAR:
```
Pu2UAs4
1.0
-0.933 0.157 4.054
-0.391 -7.024 -1.956
11.553 -1.398 2.714
Pu U As
4 2 8
Direct
0.133 0.265 0.437
0.867 0.735 0.937
0.133 0.265 0.063
0.867 0.735 0.563
0.608 0.217 0.750
0.392 0.783 0.250
0.767 0.534 0.144
0.767 0.534 0.356
0.233 0.466 0.856
0.233 0.466 0.644
0.980 0.960 0.750
0.020 0.040 0.250
0.500 0.000 0.000
0.500 0.000 0.500
```

Output
- crystal system = orthorhombic
- DOS at the Fermi energy (states/eV/f.u.) = 23.327
- energy of formation (eV per atom) = -0.659



[10]
The following is a PBE calculation of a relaxed PuU2As4 crystal, from Alexandria via LeMat-Bulk.

Geometry as POSCAR:
```
PuU2As4
1.0
6.943 0.000 -2.462
-3.482 6.011 -2.452
0.021 0.000 7.367
As U Pu
8 4 2
Direct
0.781 0.249 0.871
0.969 0.590 0.718
0.622 0.751 0.532
0.128 0.410 0.379
0.468 0.090 0.219
0.621 0.749 0.031
0.282 0.251 0.872
0.129 0.910 0.378
0.375 0.878 0.753
0.503 0.378 0.625
0.875 0.122 0.497
0.247 0.622 0.125
0.750 0.500 0.250
0.000 0.000 0.000
```

Output
- energy above the most stable polymorph in this dataset (eV per atom) = 0.000
- crystal system = tetragonal
- DOS at the Fermi energy (states/eV/f.u.) = 15.858
- energy of formation (eV per atom) = -0.807



[11]
The following is a PBE calculation of a relaxed PuU5As6 crystal, from Alexandria via LeMat-Bulk.

Geometry as POSCAR:
```
PuU5As6
1.0
-1.069 4.026 -5.706
-6.931 1.303 -0.737
-2.883 5.708 3.091
As U Pu
6 5 1
Direct
0.749 0.084 0.335
0.251 0.581 0.335
0.252 0.251 0.000
0.748 0.749 0.000
0.749 0.419 0.665
0.251 0.916 0.665
0.500 0.166 0.667
0.000 0.334 0.333
0.500 0.500 0.000
0.000 0.666 0.667
0.500 0.834 0.333
0.000 0.000 0.000
```

Output
- crystal system = monoclinic
- DOS at the Fermi energy (states/eV/f.u.) = 43.249
- energy of formation (eV per atom) = -0.761



[12]
The following is a PBE calculation of a relaxed PuUAs2 crystal, from Alexandria via LeMat-Bulk.

Geometry as POSCAR:
```
PuUAs2
1.0
-1.590 -2.907 -2.241
1.859 -3.528 -0.312
-3.551 -4.570 4.879
Pu U As
1 1 2
Direct
0.668 0.668 0.995
0.499 0.499 0.504
0.083 0.083 0.752
0.250 0.250 0.250
```

Output
- energy above the most stable polymorph in this dataset (eV per atom) = 0.114
- crystal system = trigonal
- DOS at the Fermi energy (states/eV/f.u.) = 12.583
- energy of formation (eV per atom) = -0.753



Among the records above, which one has the lowest DOS at the Fermi energy?
number 8